Record 1
First-principles (GGA-PBE) data for a relaxed DyZr2In crystal, as listed in the Alexandria database.

Properties
Offset from the most stable computed form   17.62 kJ/mol of atoms
ΔE_f   -0.03 eV per atom

Cell: 7.2401 7.2401 7.2401 Å, 90.00 90.00 90.00°
Last column: nearest neighbours and their distance in Å.
Space group Fm-3m (No. 225)
Unique sites:
1 Dy 0.0000 0.0000 0.0000 (multiplicity 4)  8 Zr 3.14
2 Zr 0.2500 0.2500 0.2500 (multiplicity 8)  4 In 3.14, 4 Dy 3.14
3 In 0.0000 0.0000 0.5000 (multiplicity 4)  8 Zr 3.14

=====

Record 2
First-principles (GGA-PBE) data for a relaxed Sc2SnPd8 crystal, as listed in the Alexandria database.

Properties
Offset from the most stable computed form   4.63 kJ/mol of atoms
ΔE_f   -0.62 eV per atom

Cell: 13.3799 6.6886 4.4329 Å, 90.00 109.27 90.00°
Last column: nearest neighbours and their distance in Å.
Space group C2 (No. 5)
Unique sites:
1 Sc 0.1506 0.0000 0.1502 (multiplicity 4)  8 Pd 2.63-2.92
2 Sn 0.0000 0.5864 0.5000 (multiplicity 2)  9 Pd 2.71-2.88
3 Pd 0.0000 0.2711 0.0000 (multiplicity 2)  2 Sc 2.63, 8 Pd 2.75-2.94
4 Pd 0.0000 0.9922 0.5000 (multiplicity 2)  1 Sn 2.71, 6 Pd 2.80-2.90, 4 Sc 2.92
5 Pd 0.1455 0.5777 0.1460 (multiplicity 4)  7 Pd 2.72-2.94, 1 Sc 2.83, 2 Sn 2.88
6 Pd 0.1524 0.2963 0.6525 (multiplicity 4)  1 Sn 2.73, 8 Pd 2.80-2.94, 3 Sc 2.84-2.97
7 Pd 0.2011 0.7888 0.7011 (multiplicity 4)  3 Sc 2.69-2.71, 6 Pd 2.72-2.89, 1 Sn 2.88

=====

Record 3
First-principles (GGA-PBE) data for a relaxed RbZnGaO3 crystal, as listed in the Alexandria database.

Properties
ΔE_f (raw)   -1509 meV/atom

Cell: 6.5895 3.1013 9.7451 Å, 90.00 107.95 90.00°
Last column: nearest neighbours and their distance in Å.
Space group P2_1/m (No. 11)
Unique sites:
1 Rb 0.0049 0.2500 0.2947 (multiplicity 2)  7 O 2.94-3.10, 2 Rb 3.10
2 Zn 0.4831 0.2500 0.6099 (multiplicity 2)  4 O 1.95-2.18
3 Ga 0.4401 0.2500 0.1060 (multiplicity 2)  5 O 1.91-2.11
4 O 0.3100 0.7500 0.5262 (multiplicity 2)  3 Zn 1.95-2.18
5 O 0.3223 0.7500 0.1864 (multiplicity 2)  2 Ga 2.00, 1 Zn 2.00
6 O 0.3455 0.2500 0.9003 (multiplicity 2)  3 Ga 1.91-2.11

=====

Record 4
First-principles (GGA-PBE) data for a relaxed Er8Co2Te crystal, as listed in the Alexandria database.

Properties
ΔE_f (raw)   -239 meV/atom

Cell: 8.2709 12.5625 5.6927 Å, 90.00 102.30 90.00°
Last column: nearest neighbours and their distance in Å.
Space group C2/m (No. 12)
Unique sites:
1 Er 0.0000 0.2494 0.0000 (multiplicity 4)  2 Co 2.95, 1 Te 3.13, 2 Er 3.29
2 Er 0.1100 0.5000 0.7893 (multiplicity 4)  2 Co 2.93, 1 Te 3.19
3 Er 0.2049 0.1350 0.6028 (multiplicity 8)  2 Co 2.72-2.76
4 Co 0.0000 0.3100 0.5000 (multiplicity 4)  8 Er 2.72-2.95
5 Te 0.0000 0.0000 0.0000 (multiplicity 2)  4 Er 3.13-3.19

=====

Record 5
First-principles (GGA-PBE) data for a relaxed NiIr2W crystal, as listed in the Alexandria database.

Properties
Offset from the most stable computed form   12.10 kJ/mol of atoms
ΔE_f   -0.12 eV per atom

Cell: 2.7233 3.8385 5.3969 Å, 90.00 90.00 90.00°
Last column: nearest neighbours and their distance in Å.
Space group Pmm2 (No. 25)
Unique sites:
1 Ni 0.0000 0.0000 0.0000 (multiplicity 1)  6 Ir 2.65-2.71, 4 W 2.69, 2 Ni 2.72
2 Ir 0.0000 0.0000 0.4984 (multiplicity 1)  2 Ni 2.69-2.71, 6 Ir 2.72-2.79, 4 W 2.73
3 Ir 0.5000 0.5000 0.7751 (multiplicity 1)  1 W 2.52, 4 Ni 2.65, 6 Ir 2.72-2.79
4 W 0.5000 0.5000 0.2417 (multiplicity 1)  5 Ir 2.52-2.73, 4 Ni 2.69, 2 W 2.72

=====

Record 6
First-principles (GGA-PBE) data for a relaxed VB2IrCl crystal, as listed in the Alexandria database.

Properties
ΔE_f (raw)   2091 meV/atom

Cell: 3.8111 3.8111 4.5975 Å, 90.00 90.00 90.00°
Last column: nearest neighbours and their distance in Å.
Space group P4/mmm (No. 123)
Unique sites:
1 V 0.0000 0.0000 0.0000 (multiplicity 1)  4 Ir 2.69, 8 B 2.99
2 B 0.0000 0.5000 0.5000 (multiplicity 2)  2 Cl 1.91
3 Ir 0.5000 0.5000 0.0000 (multiplicity 1)  2 Cl 2.30
4 Cl 0.5000 0.5000 0.5000 (multiplicity 1)  4 B 1.91

=====

Record 7
First-principles (GGA-PBE) data for a relaxed ReCl crystal, as listed in the Alexandria database.

Properties
Offset from the most stable computed form   65.91 kJ/mol of atoms
ΔE_f (raw)   572 meV/atom

Cell: 2.9145 6.2215 13.3549 Å, 90.00 90.00 90.00°
Last column: nearest neighbours and their distance in Å.
Space group Pmmn (No. 59, origin choice 2)
Unique sites:
1 Re 0.2500 0.0608 0.0762 (multiplicity 4)  3 Re 2.35-2.61, 2 Cl 2.56
2 Re 0.2500 0.7500 0.6379 (multiplicity 2)  4 Cl 2.32-2.37
3 Cl 0.2500 0.2500 0.5018 (multiplicity 2)  2 Re 2.37
4 Cl 0.2500 0.5049 0.7685 (multiplicity 4)  3 Re 2.32-2.56

=====

| no. | total magnetization (μB/cell) |
| --- | --- |
| 1 | 0.00 |
| 2 | 0.00 |
| 3 | 0.00 |
| 4 | 0.00 |
| 5 | 0.00 |
| 6 | 0.00 |
| 7 | 0.00 |